1.
# Be2AlCd

An optimized crystal structure of Be2AlCd (PBE, Alexandria).

Results
space-group type = No. 122
energy above the most stable polymorph in this dataset = 443.4 meV per atom
magnetization = 0.0 μB/f.u.

a b c (Å): 6.9501 6.9501 5.5796
angles (deg): 51.48 51.48 90.00
Last column: nearest neighbours and their distance in Å.
Positions (direct):
1 Cd 0.0000 0.0000 0.0000  4 Be 2.60, 2 Al 2.64
2 Cd 0.7500 0.2500 0.5000  4 Be 2.60, 2 Al 2.64
3 Be 0.6138 0.1250 0.2500  2 Al 2.49, 2 Cd 2.60, 2 Be 2.65
4 Be 0.3750 0.3862 0.7500  2 Al 2.49, 2 Cd 2.60, 2 Be 2.65
5 Be 0.1362 0.6250 0.2500  2 Al 2.49, 2 Cd 2.60, 2 Be 2.65
6 Be 0.8750 0.8638 0.7500  2 Al 2.49, 2 Cd 2.60, 2 Be 2.65
7 Al 0.2500 0.7500 0.5000  4 Be 2.49, 2 Cd 2.64
8 Al 0.5000 0.5000 0.0000  4 Be 2.49, 2 Cd 2.64

=====

2.
# Be2AlCd

An optimized crystal structure of Be2AlCd (PBE, Alexandria).

Results
space-group type = No. 216
energy above the most stable polymorph in this dataset = 291.8 meV per atom
magnetization = 0.0 μB/f.u.

a b c (Å): 4.3417 4.3417 4.3417
angles (deg): 60.00 60.00 60.00
Last column: nearest neighbours and their distance in Å.
Positions (direct):
1 Be 0.2500 0.2500 0.2500  4 Be 2.66, 4 Al 2.66
2 Be 0.0000 0.0000 0.0000  4 Cd 2.66, 4 Be 2.66
3 Al 0.5000 0.5000 0.5000  4 Cd 2.66, 4 Be 2.66
4 Cd 0.7500 0.7500 0.7500  4 Be 2.66, 4 Al 2.66

=====

3.
# Be2AlCd

An optimized crystal structure of Be2AlCd (PBE, Alexandria).

Results
space-group type = No. 8
energy above the most stable polymorph in this dataset = 11.0 meV per atom
magnetization = 0.0 μB/f.u.

a b c (Å): 3.9970 3.9970 6.4740
angles (deg): 71.43 71.43 39.69
Last column: nearest neighbours and their distance in Å.
Positions (direct):
1 Be 0.7420 0.7420 0.8424  3 Be 2.18-2.23, 2 Al 2.42
2 Be 0.0016 0.0016 0.9345  3 Be 2.18-2.23
3 Al 0.2212 0.2212 0.1585  5 Be 2.42-2.54
4 Cd 0.5353 0.5353 0.5646  5 Be 2.69-2.75, 2 Cd 2.71, 2 Al 2.87

=====

4.
# Be2AlCd

An optimized crystal structure of Be2AlCd (PBE, Alexandria).

Results
space-group type = No. 99
energy above the most stable polymorph in this dataset = 41.4 meV per atom
magnetization = 0.0 μB/f.u.

a b c (Å): 2.7236 2.7236 7.6962
angles (deg): 90.00 90.00 90.00
Last column: nearest neighbours and their distance in Å.
Positions (direct):
1 Be 0.5000 0.5000 0.1987  4 Be 2.31
2 Be 0.0000 0.0000 0.0339  4 Be 2.31
3 Al 0.5000 0.5000 0.8037  4 Be 2.62, 4 Al 2.72
4 Cd 0.0000 0.0000 0.4637  4 Cd 2.72, 4 Be 2.80

=====

5.
# Be2AlCd

An optimized crystal structure of Be2AlCd (PBE, Alexandria).

Results
space-group type = No. 123
energy above the most stable polymorph in this dataset = 95.1 meV per atom
magnetization = 0.0 μB/f.u.

a b c (Å): 2.7333 2.7333 7.5753
angles (deg): 90.00 90.00 90.00
Last column: nearest neighbours and their distance in Å.
Positions (direct):
1 Be 0.0000 0.0000 0.5201  4 Al 2.60, 4 Be 2.73, 4 Cd 2.81
2 Be 0.0000 0.0000 0.9799  4 Al 2.60, 4 Be 2.73, 4 Cd 2.81
3 Cd 0.5000 0.5000 0.2500  4 Cd 2.73, 8 Be 2.81
4 Al 0.5000 0.5000 0.7500  8 Be 2.60, 4 Al 2.73

=====

6.
# Be2AlCd

An optimized crystal structure of Be2AlCd (PBE, Alexandria).

Results
space-group type = No. 139
energy above the most stable polymorph in this dataset = 151.0 meV per atom
magnetization = 0.0 μB/f.u.

a b c (Å): 4.6196 4.6196 4.6196
angles (deg): 129.80 129.80 73.73
Last column: nearest neighbours and their distance in Å.
Positions (direct):
1 Be 0.5000 0.5000 0.0000  4 Cd 2.69, 4 Al 2.69, 4 Be 2.77
2 Be 0.0000 0.0000 0.0000  4 Cd 2.69, 4 Al 2.69, 4 Be 2.77
3 Al 0.7500 0.2500 0.5000  8 Be 2.69, 4 Cd 2.77
4 Cd 0.2500 0.7500 0.5000  8 Be 2.69, 4 Al 2.77

=====

7.
# Be2AlCd

An optimized crystal structure of Be2AlCd (PBE, Alexandria).

Results
space-group type = No. 119
energy above the most stable polymorph in this dataset = 155.2 meV per atom
magnetization = 0.0 μB/f.u.

a b c (Å): 4.7491 4.7491 4.7491
angles (deg): 132.68 132.68 69.15
Last column: nearest neighbours and their distance in Å.
Positions (direct):
1 Be 0.2500 0.7500 0.5000  4 Al 2.70, 4 Cd 2.73, 4 Be 2.73
2 Be 0.0000 0.0000 0.0000  4 Cd 2.70, 4 Be 2.73, 4 Al 2.73
3 Cd 0.5000 0.5000 0.0000  8 Be 2.70-2.73, 4 Al 2.73
4 Al 0.7500 0.2500 0.5000  8 Be 2.70-2.73, 4 Cd 2.73

=====

8.
# Be2AlCd

An optimized crystal structure of Be2AlCd (PBE, Alexandria).

Results
space-group type = No. 12
energy above the most stable polymorph in this dataset = 36.8 meV per atom
magnetization = 0.0 μB/f.u.

a b c (Å): 4.4678 4.4678 6.2468
angles (deg): 66.63 66.63 33.95
Last column: nearest neighbours and their distance in Å.
Positions (direct):
1 Be 0.4885 0.4885 0.4045  2 Be 2.27, 2 Al 2.42
2 Be 0.0115 0.0115 0.0955  2 Be 2.27, 2 Al 2.42
3 Al 0.2500 0.2500 0.2500  6 Be 2.42-2.59, 2 Al 2.61
4 Cd 0.7500 0.7500 0.7500  2 Cd 2.61, 4 Be 2.62

=====

9.
# Be2AlCd

An optimized crystal structure of Be2AlCd (PBE, Alexandria).

Results
space-group type = No. 225
energy above the most stable polymorph in this dataset = 219.8 meV per atom
magnetization = 0.0 μB/f.u.

a b c (Å): 4.3062 4.3062 4.3062
angles (deg): 60.00 60.00 60.00
Last column: nearest neighbours and their distance in Å.
Positions (direct):
1 Al 0.0000 0.0000 0.0000  8 Be 2.64
2 Be 0.7500 0.7500 0.7500  4 Cd 2.64, 4 Al 2.64
3 Be 0.2500 0.2500 0.2500  4 Cd 2.64, 4 Al 2.64
4 Cd 0.5000 0.5000 0.5000  8 Be 2.64

=====

10.
# Be2AlCd

An optimized crystal structure of Be2AlCd (PBE, Alexandria).

Results
space-group type = No. 65
energy above the most stable polymorph in this dataset = 127.0 meV per atom
magnetization = 0.0 μB/f.u.

a b c (Å): 4.4222 4.4222 3.0740
angles (deg): 90.00 90.00 108.74
Last column: nearest neighbours and their distance in Å.
Positions (direct):
1 Cd 0.5000 0.0000 0.5000  2 Al 2.58, 8 Be 2.69
2 Be 0.5000 0.5000 0.0000  2 Be 2.58, 4 Al 2.69, 4 Cd 2.69
3 Be 0.0000 0.0000 0.0000  2 Be 2.58, 4 Cd 2.69, 4 Al 2.69
4 Al 0.0000 0.5000 0.5000  2 Cd 2.58, 8 Be 2.69

=====

11.
# BeAlCd4

An optimized crystal structure of BeAlCd4 (PBE, Alexandria).

Results
space-group type = No. 216
magnetization = 0.0 μB/f.u.

a b c (Å): 5.6900 5.6900 5.6900
angles (deg): 60.00 60.00 60.00
Last column: nearest neighbours and their distance in Å.
Positions (direct):
1 Cd 0.8758 0.3747 0.3747  6 Cd 2.84-2.85
2 Cd 0.3747 0.8758 0.3747  6 Cd 2.84-2.85
3 Cd 0.3747 0.3747 0.3747  6 Cd 2.84-2.85
4 Cd 0.3747 0.3747 0.8758  6 Cd 2.84-2.85
5 Be 0.0000 0.0000 0.0000  12 Cd 3.34, 4 Al 3.48
6 Al 0.7500 0.7500 0.7500  12 Cd 3.34, 4 Be 3.48

=====

12.
# BeAl2CdCo

An optimized crystal structure of BeAl2CdCo (PBE, Alexandria).

Results
space-group type = No. 123
magnetization = 0.0 μB/f.u.

a b c (Å): 4.3148 4.0932 4.3148
angles (deg): 90.00 90.00 90.00
Last column: nearest neighbours and their distance in Å.
Positions (direct):
1 Al 0.5000 0.0000 0.0000  2 Be 2.16
2 Al 0.0000 0.0000 0.5000  2 Be 2.16
3 Be 0.0000 0.0000 0.0000  2 Co 2.05, 4 Al 2.16
4 Cd 0.5000 0.5000 0.5000  8 Al 2.97, 4 Co 3.05
5 Co 0.0000 0.5000 0.0000  2 Be 2.05

=====

13.
# BeAlCdIn2

An optimized crystal structure of BeAlCdIn2 (PBE, Alexandria).

Results
space-group type = No. 123
magnetization = 0.0 μB/f.u.

a b c (Å): 5.5162 4.4013 5.5162
angles (deg): 90.00 90.00 90.00
Last column: nearest neighbours and their distance in Å.
Positions (direct):
1 Be 0.0000 0.5000 0.0000  2 Al 2.20
2 Cd 0.5000 0.5000 0.5000  8 In 3.53, 4 Be 3.90
3 Al 0.0000 0.0000 0.0000  2 Be 2.20
4 In 0.5000 0.0000 0.0000  2 Al 2.76
5 In 0.0000 0.0000 0.5000  2 Al 2.76

=====

Respective DOS at the Fermi energy values: 0.355; 0.278; 0.274; 0.355; 0.322; 0.346; 0.391; 0.160; 0.531; 0.280; 0.315; 0.548; 0.495 states/eV/atom.
Respective formation enthalpy at 0 K values: 0.751; 0.599; 0.319; 0.349; 0.403; 0.459; 0.463; 0.344; 0.527; 0.435; 0.539; 0.361; 0.542 eV/atom.
Respective V values: 127.6; 57.9; 62.1; 57.1; 56.6; 56.8; 56.8; 63.4; 56.5; 56.9; 130.3; 76.2; 133.9 Å³/cell.